Record 1
# GGA-PBE ThSe3, relaxed
# DFT total energy = -5.84 eV per atom
# Uncorrected formation energy = -1373 meV/atom
# Size of the total moment = 0.00 μB per formula unit
# Volume = 258.0 Å³ per cell
# SG = P2_1/m (11)
data_ThSe3
_cell_length_a 5.818
_cell_length_b 4.257
_cell_length_c 10.509
_cell_angle_alpha 90.00
_cell_angle_beta 97.42
_cell_angle_gamma 90.00
_symmetry_space_group_name_H-M 'P 1'
_symmetry_Int_Tables_number 1
loop_
_symmetry_equiv_pos_as_xyz
'x,y,z'
loop_
_atom_site_label
_atom_site_fract_x
_atom_site_fract_y
_atom_site_fract_z
_atom_site_occupancy
Th1 0.216 0.250 0.355 1
Th2 0.784 0.750 0.645 1
Se1 0.028 0.250 0.810 1
Se2 0.263 0.750 0.557 1
Se3 0.382 0.750 0.189 1
Se4 0.618 0.250 0.811 1
Se5 0.737 0.250 0.443 1
Se6 0.972 0.750 0.190 1

---

Record 2
# GGA-PBE LiRe3P, relaxed
# DFT total energy = -7.19 eV per atom
# ΔE to the lowest computed polymorph = 824.3 meV per atom
# Size of the total moment = 0.00 μB per formula unit
# Volume = 70.6 Å³ per cell
# SG = Pm-3m (221)
data_LiRe3P
_cell_length_a 4.133
_cell_length_b 4.133
_cell_length_c 4.133
_cell_angle_alpha 90.00
_cell_angle_beta 90.00
_cell_angle_gamma 90.00
_symmetry_space_group_name_H-M 'P 1'
_symmetry_Int_Tables_number 1
loop_
_symmetry_equiv_pos_as_xyz
'x,y,z'
loop_
_atom_site_label
_atom_site_fract_x
_atom_site_fract_y
_atom_site_fract_z
_atom_site_occupancy
Li1 0.000 0.000 0.000 1
Re1 0.000 0.000 0.500 1
Re2 0.000 0.500 0.000 1
Re3 0.500 0.000 0.000 1
P1 0.500 0.500 0.500 1

---

Record 3
# GGA-PBE KCuSiAg2, relaxed
# DFT total energy = -3.17 eV per atom
# Uncorrected formation energy = 92 meV/atom
# Size of the total moment = 0.00 μB per formula unit
# Volume = 116.0 Å³ per cell
# SG = P4/mmm (123)
data_KCuSiAg2
_cell_length_a 5.001
_cell_length_b 5.001
_cell_length_c 4.638
_cell_angle_alpha 90.00
_cell_angle_beta 90.00
_cell_angle_gamma 90.00
_symmetry_space_group_name_H-M 'P 1'
_symmetry_Int_Tables_number 1
loop_
_symmetry_equiv_pos_as_xyz
'x,y,z'
loop_
_atom_site_label
_atom_site_fract_x
_atom_site_fract_y
_atom_site_fract_z
_atom_site_occupancy
K1 0.000 0.000 0.000 1
Cu1 0.500 0.500 0.000 1
Si1 0.500 0.500 0.500 1
Ag1 0.000 0.500 0.500 1
Ag2 0.500 0.000 0.500 1

---

Record 4
# GGA-PBE LaTbNd2As4, relaxed
# DFT total energy = -6.24 eV per atom
# Size of the total moment = 0.00 μB per formula unit
# Volume = 439.5 Å³ per cell
# SG = Imma (74)
data_LaTbNd2As4
_cell_length_a 8.533
_cell_length_b 8.533
_cell_length_c 8.533
_cell_angle_alpha 120.00
_cell_angle_beta 119.97
_cell_angle_gamma 90.03
_symmetry_space_group_name_H-M 'P 1'
_symmetry_Int_Tables_number 1
loop_
_symmetry_equiv_pos_as_xyz
'x,y,z'
loop_
_atom_site_label
_atom_site_fract_x
_atom_site_fract_y
_atom_site_fract_z
_atom_site_occupancy
La1 0.500 0.000 0.000 1
La2 0.500 0.500 0.500 1
Tb1 0.000 0.000 0.000 1
Tb2 0.500 0.000 0.500 1
Nd1 0.000 0.000 0.500 1
Nd2 0.000 0.500 0.000 1
Nd3 0.000 0.500 0.500 1
Nd4 0.500 0.500 0.000 1
As1 0.244 0.247 0.997 1
As2 0.249 0.243 0.495 1
As3 0.249 0.754 0.005 1
As4 0.250 0.753 0.497 1
As5 0.750 0.247 0.503 1
As6 0.751 0.246 0.995 1
As7 0.751 0.757 0.505 1
As8 0.756 0.753 0.003 1